# 1
This record from Alexandria describes an optimized crystal structure of SmHfMg. The functional is PBE-GGA.

For the total energy, the calculation gives -5.270 eV/atom. The density of states at the Fermi level comes out at 5.28 states/eV/cell. The energy above the most stable polymorph in this dataset is 0.210 eV/f.u. For the formation energy, the calculation gives 0.153 eV/atom. For the total magnetization, the calculation gives 0.00 μB/cell.

The space group is P-6m2 (No. 187) and the conventional cell measures 3.2875, 3.2875 and 16.7030 Å, with angles of 90.00, 90.00 and 120.00 degrees. Symmetry generates all atoms from Sm at (0.0000, 0.0000, 0.1818), Hf at (0.6667, 0.3333, 0.3414), Mg at (0.0000, 0.0000, 0.5000) and Mg at (0.6667, 0.3333, 0.0000).


# 2
This record from Alexandria describes an optimized crystal structure of CuTe2. The functional is PBE-GGA.

For the total energy, the calculation gives -3.466 eV/atom. The density of states at the Fermi level comes out at 1.89 states/eV/cell. For the total magnetization, the calculation gives 0.00 μB/cell.

The space group is P-3m1 (No. 164) and the conventional cell measures 4.0267, 4.0267 and 5.1120 Å, with angles of 90.00, 90.00 and 120.00 degrees. Symmetry generates all atoms from Cu at (0.0000, 0.0000, 0.0000) and Te at (0.3333, 0.6667, 0.7262).


# 3
This record from Alexandria describes an optimized crystal structure of Al3Co. The functional is PBE-GGA.

For the total energy, the calculation gives -4.788 eV/atom. The density of states at the Fermi level comes out at 1.18 states/eV/cell. For the formation energy, the calculation gives -0.205 eV/atom. For the total magnetization, the calculation gives 0.00 μB/cell.

The space group is Pmm2 (No. 25) and the conventional cell measures 2.8368, 4.2610 and 4.5401 Å, with angles of 90.00, 90.00 and 90.00 degrees. Symmetry generates all atoms from Al at (0.0000, 0.0000, 0.0000), Al at (0.0000, 0.5000, 0.3492), Al at (0.5000, 0.0000, 0.5163) and Co at (0.5000, 0.5000, 0.8341).


- Which formula does entry 1 have?
  SmHfMg


- Number 1 is which compound?
  SmHfMg


What did the second record say?
This record from Alexandria describes an optimized crystal structure of CuTe2. The functional is PBE-GGA.

For the total energy, the calculation gives -3.466 eV/atom. The density of states at the Fermi level comes out at 1.89 states/eV/cell. For the total magnetization, the calculation gives 0.00 μB/cell.

The space group is P-3m1 (No. 164) and the conventional cell measures 4.0267, 4.0267 and 5.1120 Å, with angles of 90.00, 90.00 and 120.00 degrees. Symmetry generates all atoms from Cu at (0.0000, 0.0000, 0.0000) and Te at (0.3333, 0.6667, 0.7262).